Material: LiPr2Al4Au3
Method: DFT, PBE-GGA
State: optimized geometry

a = 4.4022 Å, b = 4.4022 Å, c = 10.6310 Å
α = 90.00°, β = 90.00°, γ = 90.00°
Atoms (fractional coordinates):
Li  0.5000  0.5000  0.5000
Pr  0.5000  0.0000  0.2505
Pr  0.0000  0.5000  0.7495
Al  0.5000  0.5000  0.0000
Al  0.0000  0.0000  0.0000
Al  0.5000  0.0000  0.6314
Al  0.0000  0.5000  0.3686
Au  0.0000  0.0000  0.5000
Au  0.5000  0.0000  0.8694
Au  0.0000  0.5000  0.1306

Properties
The value obtained for the energy of formation is -649 meV/atom. The magnetization is 0.000 μB per cell.

---

Material: Er2SiOs2
Method: DFT, PBE-GGA
State: optimized geometry

a = 5.6099 Å, b = 5.6099 Å, c = 7.5107 Å
α = 79.05°, β = 79.05°, γ = 59.14°
Atoms (fractional coordinates):
Er  0.4990  0.2116  0.1440
Er  0.7884  0.5010  0.3560
Er  0.5010  0.7884  0.8560
Er  0.2116  0.4990  0.6440
Si  0.0921  0.9079  0.2500
Si  0.9079  0.0921  0.7500
Os  0.7139  0.0124  0.5122
Os  0.9876  0.2861  0.9878
Os  0.2861  0.9876  0.4878
Os  0.0124  0.7139  0.0122

Properties
The magnetization is 0.000 μB per cell. As for the formation energy from raw total energies: -0.532 eV per atom.

---

Material: SrLi9Ag3
Method: DFT, PBE-GGA
State: optimized geometry

a = 5.6781 Å, b = 7.4935 Å, c = 7.3194 Å
α = 80.97°, β = 67.18°, γ = 66.14°
Atoms (fractional coordinates):
Sr  0.0000  0.0000  0.0000
Li  0.7267  0.7740  0.7678
Li  0.2733  0.2260  0.2322
Li  0.5055  0.2260  0.7678
Li  0.4945  0.7740  0.2322
Li  0.6277  0.3491  0.3603
Li  0.3723  0.6509  0.6397
Li  0.0120  0.6509  0.3603
Li  0.9880  0.3491  0.6397
Li  0.0000  0.5000  0.0000
Ag  0.5000  0.5000  0.0000
Ag  0.0000  0.0000  0.5000
Ag  0.5000  0.0000  0.5000

Properties
The value obtained for the energy of formation is -129 meV/atom. The magnetization is 0.000 μB per cell.

---

Material: TbPaAgSn
Method: DFT, PBE-GGA
State: optimized geometry

a = 5.2669 Å, b = 5.2669 Å, c = 5.2669 Å
α = 60.00°, β = 60.00°, γ = 60.00°
Atoms (fractional coordinates):
Pa  0.0000  0.0000  0.0000
Tb  0.5000  0.5000  0.5000
Sn  0.2500  0.2500  0.2500
Ag  0.7500  0.7500  0.7500

Properties
The value obtained for the energy of formation is -103 meV/atom. The magnetization is 2.204 μB per cell.